--- P ---
DFT (PBE-GGA) results for a geometry-optimized KZrPt2 structure. Values from VASP.

```
&SYSTEM
  ibrav = 0, nat = 4, ntyp = 3
/
ATOMIC_SPECIES
K 39.10 K.upf
Zr 91.22 Zr.upf
Pt 195.08 Pt.upf
CELL_PARAMETERS angstrom
5.303 0.000 0.000
0.000 5.303 0.000
0.000 0.000 2.891
ATOMIC_POSITIONS crystal
K 0.000 0.000 0.000
Zr 0.500 0.500 0.000
Pt 0.000 0.500 0.500
Pt 0.500 0.000 0.500
```

Results
**Density**: 10.63 g/cm³
**Space-group type**: P4/mmm (123)


--- Q ---
DFT (PBE-GGA) results for a geometry-optimized KZrPt2 structure. Values from VASP.

```
&SYSTEM
  ibrav = 0, nat = 8, ntyp = 3
/
ATOMIC_SPECIES
K 39.10 K.upf
Zr 91.22 Zr.upf
Pt 195.08 Pt.upf
CELL_PARAMETERS angstrom
-3.868 3.868 3.296
3.868 -3.868 3.296
3.868 3.868 -3.296
ATOMIC_POSITIONS crystal
K 0.000 0.000 0.000
K 0.750 0.250 0.500
Zr 0.250 0.750 0.500
Zr 0.500 0.500 0.000
Pt 0.178 0.625 0.053
Pt 0.375 0.428 0.553
Pt 0.572 0.125 0.947
Pt 0.875 0.822 0.447
```

Results
**Density**: 8.76 g/cm³
**Space-group type**: I-42d (122)


The relative energies come out as P 0.0; Q 15.3, with values in kJ/mol of atoms.


--- P ---
DFT (PBE-GGA) results for a geometry-optimized KZrPt2 structure. Values from VASP.

```
&SYSTEM
  ibrav = 0, nat = 4, ntyp = 3
/
ATOMIC_SPECIES
K 39.10 K.upf
Zr 91.22 Zr.upf
Pt 195.08 Pt.upf
CELL_PARAMETERS angstrom
-2.070 2.070 4.651
2.070 -2.070 4.651
2.070 2.070 -4.651
ATOMIC_POSITIONS crystal
K 0.000 0.000 0.000
Zr 0.750 0.250 0.500
Pt 0.250 0.750 0.500
Pt 0.500 0.500 0.000
```

Results
**Density**: 10.84 g/cm³
**Space-group type**: I-4m2 (119)


--- Q ---
DFT (PBE-GGA) results for a geometry-optimized KZrPt2 structure. Values from VASP.

```
&SYSTEM
  ibrav = 0, nat = 4, ntyp = 3
/
ATOMIC_SPECIES
K 39.10 K.upf
Zr 91.22 Zr.upf
Pt 195.08 Pt.upf
CELL_PARAMETERS angstrom
0.000 3.373 3.373
3.373 0.000 3.373
3.373 3.373 0.000
ATOMIC_POSITIONS crystal
K 0.000 0.000 0.000
Zr 0.750 0.750 0.750
Pt 0.250 0.250 0.250
Pt 0.500 0.500 0.500
```

Results
**Density**: 11.26 g/cm³
**Space-group type**: F-43m (216)


--- R ---
DFT (PBE-GGA) results for a geometry-optimized KZrPt2 structure. Values from VASP.

```
&SYSTEM
  ibrav = 0, nat = 4, ntyp = 3
/
ATOMIC_SPECIES
K 39.10 K.upf
Zr 91.22 Zr.upf
Pt 195.08 Pt.upf
CELL_PARAMETERS angstrom
5.493 -1.427 0.000
5.493 1.427 0.000
-1.112 0.000 5.188
ATOMIC_POSITIONS crystal
K 0.000 0.000 0.000
Zr 0.198 0.198 0.620
Pt 0.459 0.459 0.483
Pt 0.761 0.761 0.167
```

Results
**Density**: 10.63 g/cm³
**Space-group type**: Cm (8)


The relative energies come out as P 21.1; Q 30.1; R 0.0, with values in kJ/mol of atoms.


--- P ---
DFT (PBE-GGA) results for a geometry-optimized KZrPt2 structure. Values from VASP.

```
&SYSTEM
  ibrav = 0, nat = 4, ntyp = 3
/
ATOMIC_SPECIES
K 39.10 K.upf
Zr 91.22 Zr.upf
Pt 195.08 Pt.upf
CELL_PARAMETERS angstrom
3.562 0.000 0.000
0.000 3.562 0.000
0.000 0.000 8.245
ATOMIC_POSITIONS crystal
K 0.000 0.000 0.000
Zr 0.500 0.500 0.574
Pt 0.000 0.000 0.448
Pt 0.500 0.500 0.266
```

Results
**Density**: 8.26 g/cm³
**Space-group type**: P4mm (99)


--- Q ---
DFT (PBE-GGA) results for a geometry-optimized KZrPt2 structure. Values from VASP.

```
&SYSTEM
  ibrav = 0, nat = 4, ntyp = 3
/
ATOMIC_SPECIES
K 39.10 K.upf
Zr 91.22 Zr.upf
Pt 195.08 Pt.upf
CELL_PARAMETERS angstrom
3.360 0.000 0.000
0.000 3.360 0.000
0.000 0.000 8.128
ATOMIC_POSITIONS crystal
K 0.000 0.000 0.000
Zr 0.000 0.000 0.500
Pt 0.500 0.500 0.316
Pt 0.500 0.500 0.684
```

Results
**Density**: 9.42 g/cm³
**Space-group type**: P4/mmm (123)


--- R ---
DFT (PBE-GGA) results for a geometry-optimized KZrPt2 structure. Values from VASP.

```
&SYSTEM
  ibrav = 0, nat = 4, ntyp = 3
/
ATOMIC_SPECIES
K 39.10 K.upf
Zr 91.22 Zr.upf
Pt 195.08 Pt.upf
CELL_PARAMETERS angstrom
3.493 0.000 0.000
0.000 4.363 0.000
-0.045 0.000 6.789
ATOMIC_POSITIONS crystal
K 0.000 0.000 0.000
Zr 0.993 0.500 0.456
Pt 0.494 0.000 0.483
Pt 0.497 0.500 0.743
```

Results
**Density**: 8.35 g/cm³
**Space-group type**: Pm (6)


The relative energies come out as P 45.6; Q 0.0; R 32.2, with values in kJ/mol of atoms.


--- P ---
DFT (PBE-GGA) results for a geometry-optimized KZr2Pt2 structure. Values from VASP.

```
&SYSTEM
  ibrav = 0, nat = 10, ntyp = 3
/
ATOMIC_SPECIES
K 39.10 K.upf
Zr 91.22 Zr.upf
Pt 195.08 Pt.upf
CELL_PARAMETERS angstrom
8.542 0.000 0.000
0.000 8.542 0.000
0.000 0.000 2.930
ATOMIC_POSITIONS crystal
K 0.000 0.000 0.000
K 0.500 0.500 0.000
Zr 0.136 0.364 0.000
Zr 0.364 0.864 0.000
Zr 0.636 0.136 0.000
Zr 0.864 0.636 0.000
Pt 0.156 0.656 0.500
Pt 0.344 0.156 0.500
Pt 0.656 0.844 0.500
Pt 0.844 0.344 0.500
```

Results
**Density**: 9.50 g/cm³
**Space-group type**: P4/mbm (127)


--- Q ---
DFT (PBE-GGA) results for a geometry-optimized KZr2Pt2 structure. Values from VASP.

```
&SYSTEM
  ibrav = 0, nat = 5, ntyp = 3
/
ATOMIC_SPECIES
K 39.10 K.upf
Zr 91.22 Zr.upf
Pt 195.08 Pt.upf
CELL_PARAMETERS angstrom
-2.367 2.367 5.403
2.367 -2.367 5.403
2.367 2.367 -5.403
ATOMIC_POSITIONS crystal
K 0.000 0.000 0.000
Zr 0.250 0.750 0.500
Zr 0.750 0.250 0.500
Pt 0.374 0.374 0.000
Pt 0.626 0.626 0.000
```

Results
**Density**: 8.39 g/cm³
**Space-group type**: I4/mmm (139)


The relative energies come out as P 4.8; Q 0.0, with values in kJ/mol of atoms.


--- P ---
DFT (PBE-GGA) results for a geometry-optimized KZr2Pt structure. Values from VASP.

```
&SYSTEM
  ibrav = 0, nat = 8, ntyp = 3
/
ATOMIC_SPECIES
K 39.10 K.upf
Zr 91.22 Zr.upf
Pt 195.08 Pt.upf
CELL_PARAMETERS angstrom
-2.764 2.764 9.194
2.764 -2.764 9.194
2.764 2.764 -9.194
ATOMIC_POSITIONS crystal
K 0.000 0.000 0.000
K 0.750 0.250 0.500
Zr 0.360 0.125 0.735
Zr 0.375 0.640 0.765
Zr 0.390 0.625 0.265
Zr 0.875 0.610 0.235
Pt 0.250 0.750 0.500
Pt 0.500 0.500 0.000
```

Results
**Density**: 4.93 g/cm³
**Space-group type**: I-42d (122)


--- Q ---
DFT (PBE-GGA) results for a geometry-optimized KZr2Pt structure. Values from VASP.

```
&SYSTEM
  ibrav = 0, nat = 4, ntyp = 3
/
ATOMIC_SPECIES
K 39.10 K.upf
Zr 91.22 Zr.upf
Pt 195.08 Pt.upf
CELL_PARAMETERS angstrom
1.872 1.081 10.297
-1.872 1.081 10.297
0.000 -2.162 10.297
ATOMIC_POSITIONS crystal
K 0.000 0.000 0.000
Zr 0.218 0.218 0.218
Zr 0.782 0.782 0.782
Pt 0.500 0.500 0.500
```

Results
**Density**: 5.53 g/cm³
**Space-group type**: R-3m (166)


The relative energies come out as P 55.7; Q 0.0, with values in kJ/mol of atoms.


--- P ---
DFT (PBE-GGA) results for a geometry-optimized KZr2Pt structure. Values from VASP.

```
&SYSTEM
  ibrav = 0, nat = 4, ntyp = 3
/
ATOMIC_SPECIES
K 39.10 K.upf
Zr 91.22 Zr.upf
Pt 195.08 Pt.upf
CELL_PARAMETERS angstrom
3.521 0.000 0.000
0.000 3.521 0.000
0.000 0.000 9.324
ATOMIC_POSITIONS crystal
K 0.000 0.000 0.000
Zr 0.500 0.500 0.352
Zr 0.500 0.500 0.648
Pt 0.000 0.000 0.500
```

Results
**Density**: 5.99 g/cm³
**Space-group type**: P4/mmm (123)


--- Q ---
DFT (PBE-GGA) results for a geometry-optimized KZr2Pt structure. Values from VASP.

```
&SYSTEM
  ibrav = 0, nat = 4, ntyp = 3
/
ATOMIC_SPECIES
K 39.10 K.upf
Zr 91.22 Zr.upf
Pt 195.08 Pt.upf
CELL_PARAMETERS angstrom
0.000 3.573 3.573
3.573 0.000 3.573
3.573 3.573 0.000
ATOMIC_POSITIONS crystal
K 0.000 0.000 0.000
Zr 0.250 0.250 0.250
Zr 0.500 0.500 0.500
Pt 0.750 0.750 0.750
```

Results
**Density**: 7.58 g/cm³
**Space-group type**: F-43m (216)


--- R ---
DFT (PBE-GGA) results for a geometry-optimized KZr2Pt structure. Values from VASP.

```
&SYSTEM
  ibrav = 0, nat = 4, ntyp = 3
/
ATOMIC_SPECIES
K 39.10 K.upf
Zr 91.22 Zr.upf
Pt 195.08 Pt.upf
CELL_PARAMETERS angstrom
4.833 -1.702 0.000
4.833 1.702 0.000
-2.984 0.000 7.620
ATOMIC_POSITIONS crystal
K 0.000 0.000 0.000
Zr 0.147 0.147 0.634
Zr 0.387 0.387 0.399
Pt 0.668 0.668 0.390
```

Results
**Density**: 5.52 g/cm³
**Space-group type**: Cm (8)


The relative energies come out as P 0.0; Q 51.9; R 7.8, with values in kJ/mol of atoms.


--- P ---
DFT (PBE-GGA) results for a geometry-optimized KZr2Pt structure. Values from VASP.

```
&SYSTEM
  ibrav = 0, nat = 4, ntyp = 3
/
ATOMIC_SPECIES
K 39.10 K.upf
Zr 91.22 Zr.upf
Pt 195.08 Pt.upf
CELL_PARAMETERS angstrom
3.110 -5.309 0.000
3.110 5.309 0.000
-1.275 0.000 2.695
ATOMIC_POSITIONS crystal
K 0.000 0.000 0.000
Zr 0.000 0.500 0.500
Zr 0.500 0.000 0.500
Pt 0.500 0.500 0.000
```

Results
**Density**: 7.77 g/cm³
**Space-group type**: C2/m (12)


--- Q ---
DFT (PBE-GGA) results for a geometry-optimized KZr2Pt structure. Values from VASP.

```
&SYSTEM
  ibrav = 0, nat = 4, ntyp = 3
/
ATOMIC_SPECIES
K 39.10 K.upf
Zr 91.22 Zr.upf
Pt 195.08 Pt.upf
CELL_PARAMETERS angstrom
-2.116 2.116 4.957
2.116 -2.116 4.957
2.116 2.116 -4.957
ATOMIC_POSITIONS crystal
K 0.000 0.000 0.000
Zr 0.500 0.500 0.000
Zr 0.750 0.250 0.500
Pt 0.250 0.750 0.500
```

Results
**Density**: 7.80 g/cm³
**Space-group type**: I-4m2 (119)


The relative energies come out as P 0.0; Q 10.6, with values in kJ/mol of atoms.


--- P ---
DFT (PBE-GGA) results for a geometry-optimized KZr2Pt structure. Values from VASP.

```
&SYSTEM
  ibrav = 0, nat = 4, ntyp = 3
/
ATOMIC_SPECIES
K 39.10 K.upf
Zr 91.22 Zr.upf
Pt 195.08 Pt.upf
CELL_PARAMETERS angstrom
3.682 0.000 0.000
0.000 4.904 0.000
0.000 0.000 4.924
ATOMIC_POSITIONS crystal
K 0.000 0.000 0.000
Zr 0.000 0.500 0.500
Zr 0.500 0.500 0.000
Pt 0.500 0.000 0.500
```

Results
**Density**: 7.78 g/cm³
**Space-group type**: Pmmm (47)


--- Q ---
DFT (PBE-GGA) results for a geometry-optimized KZr2Pt structure. Values from VASP.

```
&SYSTEM
  ibrav = 0, nat = 4, ntyp = 3
/
ATOMIC_SPECIES
K 39.10 K.upf
Zr 91.22 Zr.upf
Pt 195.08 Pt.upf
CELL_PARAMETERS angstrom
0.000 3.479 3.479
3.479 0.000 3.479
3.479 3.479 0.000
ATOMIC_POSITIONS crystal
K 0.000 0.000 0.000
Zr 0.250 0.250 0.250
Zr 0.750 0.750 0.750
Pt 0.500 0.500 0.500
```

Results
**Density**: 8.22 g/cm³
**Space-group type**: Fm-3m (225)


--- R ---
DFT (PBE-GGA) results for a geometry-optimized KZr2Pt structure. Values from VASP.

```
&SYSTEM
  ibrav = 0, nat = 4, ntyp = 3
/
ATOMIC_SPECIES
K 39.10 K.upf
Zr 91.22 Zr.upf
Pt 195.08 Pt.upf
CELL_PARAMETERS angstrom
2.998 -5.016 0.000
2.998 5.016 0.000
0.000 0.000 2.942
ATOMIC_POSITIONS crystal
K 0.000 0.000 0.000
Zr 0.000 0.500 0.500
Zr 0.500 0.000 0.500
Pt 0.500 0.500 0.000
```

Results
**Density**: 7.82 g/cm³
**Space-group type**: Cmmm (65)


--- S ---
DFT (PBE-GGA) results for a geometry-optimized KZr2Pt structure. Values from VASP.

```
&SYSTEM
  ibrav = 0, nat = 4, ntyp = 3
/
ATOMIC_SPECIES
K 39.10 K.upf
Zr 91.22 Zr.upf
Pt 195.08 Pt.upf
CELL_PARAMETERS angstrom
6.216 -1.524 0.000
6.216 1.524 0.000
-2.045 0.000 5.292
ATOMIC_POSITIONS crystal
K 0.000 0.000 0.000
Zr 0.202 0.202 0.684
Zr 0.798 0.798 0.316
Pt 0.500 0.500 0.500
```

Results
**Density**: 6.90 g/cm³
**Space-group type**: C2/m (12)


The relative energies come out as P 30.7; Q 19.8; R 38.4; S 0.0, with values in kJ/mol of atoms.